First-principles (PBE) data for a relaxed Tb2InGaNi4 crystal, as listed in OQMD.

Cell lengths 4.013, 5.072, 6.784 Å; angles 90.00, 90.00, 90.00 degrees
Space group Pmm2 (No. 25)
Symmetry-distinct sites (fractional):
1 Tb 0.000 0.000 0.000 [1 per cell]
2 Tb 0.000 0.500 0.439 [1 per cell]
3 In 0.500 0.500 0.073 [1 per cell]
4 Ga 0.500 0.000 0.380 [1 per cell]
5 Ni 0.000 0.000 0.589 [1 per cell]
6 Ni 0.000 0.500 0.831 [1 per cell]
7 Ni 0.500 0.248 0.713 [2 per cell]

Results
ρ   8.86 g cm⁻³
VASP energy   -5.16 eV/atom
Volume   138 Å³/cell